# 1
U2CoC | PBE-GGA | optimized geometry

```
data_U2CoC
_cell_length_a 3.0723
_cell_length_b 3.0723
_cell_length_c 23.2167
_cell_angle_alpha 90.00
_cell_angle_beta 90.00
_cell_angle_gamma 120.00
_space_group_name_H-M_alt 'R -3 m'
_space_group_IT_number 166
_space_group_name_Hall '-R 3 2"'
loop_
_atom_site_label
_atom_site_fract_x
_atom_site_fract_y
_atom_site_fract_z
U1 0.0000 0.0000 0.1000
Co1 0.0000 0.0000 0.0000
C1 0.0000 0.0000 0.5000
```

Values from the calculation:
Magnetic moment, μB per cell: 0.00
Total DFT energy (no corrections), eV per atom: -9.5032

# 2
U4CoC4 | PBE-GGA | optimized geometry

```
data_U4CoC4
_cell_length_a 6.933
_cell_length_b 6.933
_cell_length_c 5.080
_cell_angle_alpha 90.00
_cell_angle_beta 90.00
_cell_angle_gamma 90.00
_space_group_name_H-M_alt 'I 4/m'
_space_group_IT_number 87
_space_group_name_Hall '-I 4'
loop_
_atom_site_label
_atom_site_fract_x
_atom_site_fract_y
_atom_site_fract_z
U1 0.086 0.266 0.000
Co1 0.000 0.000 0.500
C1 0.071 0.288 0.500
```

Values from the calculation:
Magnetic moment, μB per cell: 4.35
Total DFT energy (no corrections), eV per atom: -9.9635

# 3
UCo7C2 | PBE-GGA | optimized geometry

```
data_UCo7C2
_cell_length_a 6.269
_cell_length_b 9.758
_cell_length_c 3.735
_cell_angle_alpha 90.00
_cell_angle_beta 90.00
_cell_angle_gamma 90.00
_space_group_name_H-M_alt 'C m m m'
_space_group_IT_number 65
_space_group_name_Hall '-C 2 2'
loop_
_atom_site_label
_atom_site_fract_x
_atom_site_fract_y
_atom_site_fract_z
U1 0.000 0.000 0.000
Co1 0.000 0.326 0.000
Co2 0.000 0.500 0.500
Co3 0.190 0.136 0.500
C1 0.000 0.298 0.500
```

Values from the calculation:
Magnetic moment, μB per cell: 5.69
Total DFT energy (no corrections), eV per atom: -7.7660

# 4
V2CoC | PBE-GGA | optimized geometry

```
data_V2CoC
_cell_length_a 6.973
_cell_length_b 6.973
_cell_length_c 3.853
_cell_angle_alpha 90.00
_cell_angle_beta 90.00
_cell_angle_gamma 90.00
_space_group_name_H-M_alt 'I -4 2 d'
_space_group_IT_number 122
_space_group_name_Hall 'I -4 2bw'
loop_
_atom_site_label
_atom_site_fract_x
_atom_site_fract_y
_atom_site_fract_z
V1 0.123 0.250 0.125
Co1 0.000 0.000 0.500
C1 0.000 0.000 0.000
```

Values from the calculation:
Magnetic moment, μB per cell: 0.00
Total DFT energy (no corrections), eV per atom: -8.5511

# 5
V6CoC | PBE-GGA | optimized geometry

```
data_V6CoC
_cell_length_a 4.407
_cell_length_b 4.854
_cell_length_c 4.985
_cell_angle_alpha 96.54
_cell_angle_beta 110.96
_cell_angle_gamma 90.84
_space_group_name_H-M_alt 'P -1'
_space_group_IT_number 2
loop_
_space_group_symop_operation_xyz
'x,y,z'
'-x,-y,-z'
loop_
_atom_site_label
_atom_site_fract_x
_atom_site_fract_y
_atom_site_fract_z
V1 0.060 0.290 0.145
V2 0.211 0.852 0.440
V3 0.422 0.401 0.748
Co1 0.500 0.000 0.000
C1 0.000 0.500 0.500
```

Values from the calculation:
Magnetic moment, μB per cell: 0.79
Total DFT energy (no corrections), eV per atom: -8.9912

# 6
VCo2C | PBE-GGA | optimized geometry

```
data_VCo2C
_cell_length_a 4.966
_cell_length_b 4.966
_cell_length_c 8.010
_cell_angle_alpha 90.00
_cell_angle_beta 90.00
_cell_angle_gamma 90.00
_space_group_name_H-M_alt 'I -4 2 d'
_space_group_IT_number 122
_space_group_name_Hall 'I -4 2bw'
loop_
_atom_site_label
_atom_site_fract_x
_atom_site_fract_y
_atom_site_fract_z
V1 0.000 0.000 0.000
Co1 0.163 0.250 0.625
C1 0.000 0.000 0.500
```

Values from the calculation:
Magnetic moment, μB per cell: 0.00
Total DFT energy (no corrections), eV per atom: -7.5615